Entry from the Alexandria database: a relaxed structure of Hg2Pb (PBEsol).

Output
**Total magnetization**: 0.00 Bohr magnetons per cell
**Offset from the most stable computed form**: 44.0 meV/atom
**Energy relative to the elements**: 1.174 kcal/mol of atoms
**Crystal system**: hexagonal

Structure (extended XYZ):
```
6
Lattice="-1.6179 3.6952 3.4482 -2.1117 -4.8666 0.1407 4.4376 -1.8094 4.0211" Properties=species:S:1:pos:R:3 pbc="T T T"
Hg 0.0000 0.0000 0.0000
Hg 2.2188 -0.9047 2.0106
Hg -0.6731 0.3890 3.3510
Hg 1.3811 -3.3697 4.2590
Pb 1.5457 -0.5157 5.3616
Pb -0.8377 -2.4650 2.2485
```